# Ca5MnO8 (PBE+U, relaxed)
# * DOS(E_F): 0.671 states/eV/atom
# * E_tot: -87.812 eV per cell
data_Ca5MnO8
_symmetry_space_group_name_H-M 'P 1'
_symmetry_Int_Tables_number 1
_cell_length_a 6.711
_cell_length_b 6.711
_cell_length_c 6.711
_cell_angle_alpha 60.00
_cell_angle_beta 60.00
_cell_angle_gamma 60.00
loop_
_symmetry_equiv_pos_as_xyz
'x,y,z'
loop_
_atom_site_label
_atom_site_type_symbol
_atom_site_fract_x
_atom_site_fract_y
_atom_site_fract_z
Ca1 Ca 0.000 0.000 0.000
Ca2 Ca 0.111 0.630 0.630
Ca3 Ca 0.630 0.111 0.630
Ca4 Ca 0.630 0.630 0.111
Ca5 Ca 0.630 0.630 0.630
Mn1 Mn 0.250 0.250 0.250
O1 O 0.356 0.356 0.356
O2 O 0.356 0.356 0.931
O3 O 0.356 0.931 0.356
O4 O 0.409 0.864 0.864
O5 O 0.864 0.409 0.864
O6 O 0.864 0.864 0.409
O7 O 0.864 0.864 0.864
O8 O 0.931 0.356 0.356